Record 1
First-principles (PBE) data for an optimized crystal structure of W2Br4Cl, as listed in Alexandria via LeMat-Bulk.

a b c (Å): 7.073 7.073 10.447
angles (deg): 117.02 117.02 69.99
Atoms (fractional coordinates):
Br (0.271, 0.469, 0.699)
Br (0.380, 0.373, 0.381)
Br (0.771, 0.572, 0.301)
Br (0.822, 0.521, 0.801)
Br (0.719, 0.021, 0.199)
Br (0.248, 0.742, 0.119)
Br (0.992, 0.998, 0.619)
Br (0.623, 0.130, 0.881)
Cl (0.407, 0.907, 0.500)
Cl (0.157, 0.157, 0.000)
W (0.231, 0.319, 0.870)
W (0.610, 0.199, 0.630)
W (0.569, 0.981, 0.370)
W (0.449, 0.360, 0.130)

space-group type: No. 43
V: 29.19 A^3/atom
formation energy (no corrections): -0.14 eV/atom


Record 2
First-principles (PBE) data for an optimized crystal structure of AlFeNi5, as listed in Alexandria via LeMat-Bulk.

a b c (Å): 3.551 3.551 6.787
angles (deg): 90.00 90.00 90.00
Atoms (fractional coordinates):
Ni (0.500, 0.000, 0.756)
Ni (0.500, 0.500, 0.500)
Ni (0.000, 0.500, 0.756)
Ni (0.500, 0.000, 0.244)
Ni (0.000, 0.500, 0.244)
Al (0.500, 0.500, 0.000)
Fe (0.000, 0.000, 0.500)

calculated formation energy: -0.08 eV/atom
space-group type: No. 123
V: 12.23 A^3/atom


Record 3
First-principles (PBE) data for an optimized crystal structure of CeWN4, as listed in Alexandria via LeMat-Bulk.

a b c (Å): 5.280 5.280 6.857
angles (deg): 112.64 112.64 90.00
Atoms (fractional coordinates):
Ce (0.750, 0.250, 0.500)
Ce (0.000, 0.000, 0.000)
N (0.995, 0.908, 0.318)
N (0.427, 0.840, 0.182)
N (0.092, 0.677, 0.682)
N (0.755, 0.342, 0.182)
N (0.658, 0.573, 0.818)
N (0.323, 0.410, 0.318)
N (0.590, 0.005, 0.682)
N (0.160, 0.245, 0.818)
W (0.250, 0.750, 0.500)
W (0.500, 0.500, 0.000)

space-group type: No. 88
V: 13.36 A^3/atom
formation energy (no corrections): -0.29 eV/atom


Record 4
First-principles (PBE) data for an optimized crystal structure of As2Pd4Pt, as listed in Alexandria via LeMat-Bulk.

a b c (Å): 3.986 4.777 7.219
angles (deg): 78.24 67.34 67.51
Atoms (fractional coordinates):
Pt (0.000, 0.000, 0.000)
Pd (0.603, 0.581, 0.143)
Pd (0.792, 0.843, 0.696)
Pd (0.397, 0.419, 0.857)
Pd (0.208, 0.157, 0.304)
As (0.884, 0.743, 0.345)
As (0.116, 0.257, 0.655)

calculated formation energy: -0.25 eV/atom
space-group type: No. 2
V: 16.71 A^3/atom